1.
VASP calculation (PBE) on MgTeBr6 after structural relaxation. Values from VASP.

Quantum ESPRESSO input file:
```
&SYSTEM
  ibrav = 0, nat = 8, ntyp = 3
/
ATOMIC_SPECIES
Br 79.90 Br.upf
Te 127.60 Te.upf
Mg 24.30 Mg.upf
ATOMIC_POSITIONS crystal
Br 0.091 0.413 0.746
Br 0.413 0.750 0.746
Br 0.250 0.909 0.254
Br 0.587 0.250 0.254
Br 0.909 0.587 0.254
Br 0.750 0.091 0.746
Te 0.000 0.000 0.000
Mg 0.500 0.500 0.500
CELL_PARAMETERS angstrom
-3.751 5.619 -1.222
-4.346 0.140 -5.314
-7.157 -0.276 1.407
```

Values from the calculation:
The calculation puts the energy above the lowest structure with this stoichiometry at 26 meV/atom. For the formation energy (no corrections), the calculation gives -0.675 eV/atom. The value obtained for the size of the total moment is 0.00 Bohr magnetons per cell. The mass density comes out at 4.2 Mg/m³. The value obtained for the energy is -2.52 eV per atom.



2.
VASP calculation (PBE) on VAgBi2 after structural relaxation. Values from VASP.

Quantum ESPRESSO input file:
```
&SYSTEM
  ibrav = 0, nat = 4, ntyp = 3
/
ATOMIC_SPECIES
Ag 107.87 Ag.upf
Bi 208.98 Bi.upf
V 50.94 V.upf
ATOMIC_POSITIONS crystal
Ag 0.500 0.500 0.500
Bi 0.090 0.090 0.730
Bi 0.910 0.910 0.270
V 0.000 0.000 0.000
CELL_PARAMETERS angstrom
-2.492 0.983 2.098
-1.068 -2.085 2.467
5.924 3.718 8.053
```

Values from the calculation:
The value obtained for the size of the total moment is 3.57 Bohr magnetons per cell. For the calculated formation energy, the calculation gives 2.505 eV/f.u. The mass density comes out at 9.1 Mg/m³. The value obtained for the energy is -4.31 eV per atom.



3.
VASP calculation (PBE) on Hf3Co after structural relaxation. Values from VASP.

Quantum ESPRESSO input file:
```
&SYSTEM
  ibrav = 0, nat = 16, ntyp = 2
/
ATOMIC_SPECIES
Hf 178.49 Hf.upf
Co 58.93 Co.upf
ATOMIC_POSITIONS crystal
Hf 0.661 0.189 0.560
Hf 0.161 0.311 0.060
Hf 0.657 0.468 0.250
Hf 0.161 0.311 0.440
Hf 0.839 0.689 0.940
Hf 0.339 0.811 0.440
Hf 0.343 0.532 0.750
Hf 0.843 0.968 0.250
Hf 0.839 0.689 0.560
Hf 0.339 0.811 0.060
Hf 0.661 0.189 0.940
Hf 0.157 0.032 0.750
Co 0.918 0.386 0.750
Co 0.082 0.614 0.250
Co 0.418 0.114 0.250
Co 0.582 0.886 0.750
CELL_PARAMETERS angstrom
5.709 0.000 0.000
0.000 6.092 0.000
0.000 0.000 8.954
```

Values from the calculation:
The value obtained for the size of the total moment is 0.00 Bohr magnetons per cell. For the calculated formation energy, the calculation gives -0.870 eV/f.u. The mass density comes out at 12.7 Mg/m³. The value obtained for the energy is -9.46 eV per atom.



4.
VASP calculation (PBE) on Tb2TmHg after structural relaxation. Values from VASP.

Quantum ESPRESSO input file:
```
&SYSTEM
  ibrav = 0, nat = 4, ntyp = 3
/
ATOMIC_SPECIES
Tm 168.93 Tm.upf
Tb 158.93 Tb.upf
Hg 200.59 Hg.upf
ATOMIC_POSITIONS crystal
Tm 0.000 0.000 0.000
Tb 0.250 0.250 0.250
Tb 0.750 0.750 0.750
Hg 0.500 0.500 0.500
CELL_PARAMETERS angstrom
-1.721 -4.692 2.027
3.293 -4.270 0.086
1.967 -1.794 4.690
```

Values from the calculation:
The calculation puts the energy above the lowest structure with this stoichiometry at 163 meV/atom. The value obtained for the size of the total moment is 0.00 Bohr magnetons per cell. For the calculated formation energy, the calculation gives -0.253 eV/f.u. The mass density comes out at 10.3 Mg/m³. The value obtained for the energy is -3.57 eV per atom.



5.
VASP calculation (PBE) on VCdFe3 after structural relaxation. Values from VASP.

Quantum ESPRESSO input file:
```
&SYSTEM
  ibrav = 0, nat = 5, ntyp = 3
/
ATOMIC_SPECIES
Fe 55.84 Fe.upf
V 50.94 V.upf
Cd 112.41 Cd.upf
ATOMIC_POSITIONS crystal
Fe 0.000 0.500 0.000
Fe 0.500 0.000 0.000
Fe 0.000 0.000 0.500
V 0.000 0.000 0.000
Cd 0.500 0.500 0.500
CELL_PARAMETERS angstrom
4.313 0.000 0.000
0.000 4.313 0.000
0.000 0.000 4.313
```

Values from the calculation:
The calculation puts the energy above the lowest structure with this stoichiometry at 0 meV/atom. The value obtained for the size of the total moment is 4.54 Bohr magnetons per cell. For the calculated formation energy, the calculation gives 4.723 eV/f.u. The mass density comes out at 6.8 Mg/m³. The value obtained for the energy is -6.14 eV per atom.



6.
VASP calculation (PBE) on AgH3Se after structural relaxation. Values from VASP.

Quantum ESPRESSO input file:
```
&SYSTEM
  ibrav = 0, nat = 5, ntyp = 3
/
ATOMIC_SPECIES
Se 78.96 Se.upf
H 1.01 H.upf
Ag 107.87 Ag.upf
ATOMIC_POSITIONS crystal
Se 0.500 0.500 0.500
H 0.000 0.500 0.000
H 0.500 0.000 0.000
H 0.000 0.000 0.500
Ag 0.000 0.000 0.000
CELL_PARAMETERS angstrom
-0.186 3.156 -2.048
-1.210 -1.992 -2.959
-3.562 0.512 1.111
```

Values from the calculation:
The calculation puts the energy above the lowest structure with this stoichiometry at 118 meV/atom. The value obtained for the size of the total moment is 0.00 Bohr magnetons per cell. The mass density comes out at 5.9 Mg/m³. The value obtained for the energy is -2.42 eV per atom.



7.
VASP calculation (PBE) on HgAsRh2F after structural relaxation. Values from VASP.

Quantum ESPRESSO input file:
```
&SYSTEM
  ibrav = 0, nat = 5, ntyp = 4
/
ATOMIC_SPECIES
Rh 102.91 Rh.upf
Hg 200.59 Hg.upf
F 19.00 F.upf
As 74.92 As.upf
ATOMIC_POSITIONS crystal
Rh 0.000 0.000 0.500
Rh 0.500 0.000 0.000
Hg 0.500 0.500 0.500
F 0.000 0.000 0.000
As 0.000 0.500 0.000
CELL_PARAMETERS angstrom
-1.100 -1.823 -3.833
2.054 -3.749 1.194
-3.728 -1.478 1.773
```

Values from the calculation:
For the formation energy (no corrections), the calculation gives 0.483 eV/atom. The value obtained for the size of the total moment is 0.78 Bohr magnetons per cell. The mass density comes out at 9.7 Mg/m³. The value obtained for the energy is -3.82 eV per atom.



8.
VASP calculation (PBE) on Dy3Ho2Ag2 after structural relaxation. Values from VASP.

Quantum ESPRESSO input file:
```
&SYSTEM
  ibrav = 0, nat = 7, ntyp = 3
/
ATOMIC_SPECIES
Ag 107.87 Ag.upf
Dy 162.50 Dy.upf
Ho 164.93 Ho.upf
ATOMIC_POSITIONS crystal
Ag 0.212 0.425 0.136
Ag 0.788 0.575 0.864
Dy 0.500 0.000 0.000
Dy 0.661 0.322 0.484
Dy 0.339 0.678 0.516
Ho 0.075 0.150 0.726
Ho 0.925 0.850 0.274
CELL_PARAMETERS angstrom
-1.299 5.053 1.075
-3.786 -3.744 -0.177
3.929 -0.535 7.262
```

Values from the calculation:
The calculation puts the energy above the lowest structure with this stoichiometry at 58 meV/atom. The value obtained for the size of the total moment is 0.00 Bohr magnetons per cell. For the calculated formation energy, the calculation gives -0.760 eV/f.u. The mass density comes out at 9.1 Mg/m³. The value obtained for the energy is -4.20 eV per atom.



9.
VASP calculation (PBE) on TcCl3 after structural relaxation. Values from VASP.

Quantum ESPRESSO input file:
```
&SYSTEM
  ibrav = 0, nat = 4, ntyp = 2
/
ATOMIC_SPECIES
Cl 35.45 Cl.upf
Tc 98.00 Tc.upf
ATOMIC_POSITIONS crystal
Cl 0.750 0.250 0.500
Cl 0.390 0.390 0.000
Cl 0.110 0.110 0.000
Tc 0.250 0.750 0.500
CELL_PARAMETERS angstrom
-6.559 2.717 -1.857
-6.897 -2.498 0.178
6.521 1.919 2.764
```

Values from the calculation:
The calculation puts the energy above the lowest structure with this stoichiometry at 515 meV/atom. For the formation energy (no corrections), the calculation gives -0.197 eV/atom. The value obtained for the size of the total moment is 1.43 Bohr magnetons per cell. The mass density comes out at 3.5 Mg/m³. The value obtained for the energy is -4.17 eV per atom.



10.
VASP calculation (PBE) on RbTlSn2 after structural relaxation. Values from VASP.

Quantum ESPRESSO input file:
```
&SYSTEM
  ibrav = 0, nat = 4, ntyp = 3
/
ATOMIC_SPECIES
Sn 118.71 Sn.upf
Tl 204.38 Tl.upf
Rb 85.47 Rb.upf
ATOMIC_POSITIONS crystal
Sn 0.301 0.301 0.096
Sn 0.699 0.699 0.904
Tl 0.000 0.000 0.000
Rb 0.500 0.500 0.500
CELL_PARAMETERS angstrom
-2.442 3.605 3.148
-3.269 -1.645 3.934
3.199 0.474 6.525
```

Values from the calculation:
The calculation puts the energy above the lowest structure with this stoichiometry at 115 meV/atom. The value obtained for the size of the total moment is 0.00 Bohr magnetons per cell. For the calculated formation energy, the calculation gives 0.030 eV/f.u. The mass density comes out at 5.3 Mg/m³. The value obtained for the energy is -2.83 eV per atom.



11.
VASP calculation (PBE) on Ce2CoSi4Ir3 after structural relaxation. Values from VASP.

Quantum ESPRESSO input file:
```
&SYSTEM
  ibrav = 0, nat = 10, ntyp = 4
/
ATOMIC_SPECIES
Si 28.09 Si.upf
Co 58.93 Co.upf
Ir 192.22 Ir.upf
Ce 140.12 Ce.upf
ATOMIC_POSITIONS crystal
Si 0.000 0.500 0.375
Si 0.000 0.000 0.000
Si 0.500 0.000 0.625
Si 0.500 0.500 0.000
Co 0.500 0.500 0.500
Ir 0.000 0.000 0.500
Ir 0.000 0.500 0.130
Ir 0.500 0.000 0.870
Ce 0.000 0.500 0.752
Ce 0.500 0.000 0.248
CELL_PARAMETERS angstrom
4.121 0.000 0.000
0.000 4.121 0.000
0.000 0.000 9.902
```

Values from the calculation:
For the formation energy (no corrections), the calculation gives -0.957 eV/atom. The value obtained for the size of the total moment is 0.63 Bohr magnetons per cell. The mass density comes out at 10.2 Mg/m³. The value obtained for the energy is -7.68 eV per atom.



Number 11 is which compound?
Ce2CoSi4Ir3



Number 1 is which compound?
MgTeBr6